Material: Sr2MgBi
Method: DFT, GGA-PBE
State: relaxed

Values from the calculation:
Total moment = 0.00 μB/cell
E_form = -14 meV/atom
Energy = -2.224 eV per atom
ΔE to the lowest computed polymorph = 0.480 eV/atom

a b c (Å): 11.498 11.498 11.498
angles (deg): 150.71 150.71 41.91
Element x y z (fractional)
Sr (0.112, 0.625, 0.987)
Sr (0.375, 0.362, 0.487)
Sr (0.638, 0.125, 0.013)
Sr (0.875, 0.888, 0.513)
Mg (0.250, 0.750, 0.500)
Mg (0.500, 0.500, 0.000)
Bi (0.000, 0.000, 0.000)
Bi (0.750, 0.250, 0.500)